Entry 1:
The following is a DFT calculation (GGA-PBE) of LiTlRe2 after structural relaxation.

## Properties
Calculated total energy ... -7.02 eV/atom
Formation enthalpy at 0 K ... 0.270 eV per atom
Mass density ... 14.9 g cm⁻³

Unit cell a=3.1070 b=3.1070 c=6.7221 alpha=90.00 beta=90.00 gamma=90.00
Fractional positions:
Re: 0.0000 0.0000 0.0007
Re: 0.5000 0.5000 0.2025
Li: 0.5000 0.5000 0.7697
Tl: 0.0000 0.0000 0.5271



Entry 2:
The following is a DFT calculation (GGA-PBE) of ZnAg3Br6 after structural relaxation.

## Properties
Calculated total energy ... -2.39 eV/atom
Formation energy without anion corrections ... -0.399 eV/atom
Mass density ... 5.2 g cm⁻³

Unit cell a=6.8348 b=7.4285 c=11.0889 alpha=90.00 beta=97.71 gamma=90.00
Fractional positions:
Br: 0.6867 0.1763 0.9231
Br: 0.8133 0.6763 0.5769
Br: 0.3133 0.8237 0.0769
Ag: 0.5091 0.1255 0.1652
Ag: 0.4909 0.8745 0.8348
Br: 0.1867 0.3237 0.4231
Br: 0.1577 0.0523 0.7496
Ag: 0.9909 0.6255 0.3348
Br: 0.3423 0.5523 0.7504
Zn: 0.0000 0.0000 0.0000
Br: 0.8304 0.7115 0.9245
Br: 0.8423 0.9477 0.2504
Ag: 0.0091 0.3745 0.6652
Zn: 0.5000 0.5000 0.5000
Br: 0.6577 0.4477 0.2496
Ag: 0.5000 0.5000 0.0000
Br: 0.3304 0.7885 0.4245
Br: 0.6696 0.2115 0.5755
Ag: 0.0000 0.0000 0.5000
Br: 0.1696 0.2885 0.0755



Entry 3:
The following is a DFT calculation (GGA-PBE) of CdHgBi after structural relaxation.

## Properties
Calculated total energy ... -1.66 eV/atom
Formation enthalpy at 0 K ... 0.040 eV per atom
Mass density ... 10.3 g cm⁻³

Unit cell a=3.5265 b=7.5220 c=7.0031 alpha=69.43 beta=90.23 gamma=104.02
Fractional positions:
Cd: 0.2703 0.5582 0.1767
Bi: 0.9355 0.8794 0.8466
Bi: 0.0645 0.1206 0.1534
Hg: 0.6175 0.2525 0.5110
Hg: 0.3825 0.7475 0.4890
Cd: 0.7297 0.4418 0.8233